Density functional theory data (PBE+U) for crystalline AlTe2WF at its relaxed geometry.

Results
As for the total energy: -4.2483 eV/atom. The value obtained for the magnetic moment is 3.8 μB per cell. The value obtained for the density of states at the Fermi level is 1.0 states/eV/cell.

Geometry as POSCAR:
```
AlTe2WF
1.0
5.429 0.000 0.000
0.000 3.733 0.000
0.000 0.000 5.429
Te Al F W
2 1 1 1
Cartesian
2.715 0.000 0.000
0.000 0.000 2.715
0.000 0.000 0.000
0.000 1.866 0.000
2.715 1.866 2.715
```